# 1
A geometry-optimized TaMnFeRh structure, computed with PBE.

Cell: 4.3128 4.3128 4.3128 Å, 60.00 60.00 60.00°
Each line ends with the local moment (μB).
Positions (direct):
Ta (0.0000, 0.0000, 0.0000)  -0.21
Mn (0.5000, 0.5000, 0.5000)  3.41
Fe (0.2500, 0.2500, 0.2500)  1.35
Rh (0.7500, 0.7500, 0.7500)  0.38

The magnetic moment comes out at 4.92 μB/f.u. The total energy is -0.3464 Ha/atom. Its symmetry is F-43m, No. 216.

***

# 2
A geometry-optimized KThSe2O8 structure, computed with PBE.

Cell: 5.5390 5.5390 8.3947 Å, 88.41 88.41 67.36°
Positions (direct):
O (0.7580, 0.7580, 0.0752)
O (0.2834, 0.7856, 0.2032)
O (0.2420, 0.2420, 0.9248)
O (0.7037, 0.7037, 0.4057)
K (0.0000, 0.0000, 0.5000)
Th (0.0000, 0.0000, 0.0000)
Se (0.6287, 0.6287, 0.2299)
O (0.7166, 0.2144, 0.7968)
O (0.7856, 0.2834, 0.2032)
O (0.2144, 0.7166, 0.7968)
Se (0.3713, 0.3713, 0.7701)
O (0.2963, 0.2963, 0.5943)

The magnetic moment comes out at 0.00 μB/f.u. The total energy is -0.2250 Ha/atom. Its symmetry is C2/m, No. 12.

***

# 3
A geometry-optimized LiMg2Zn2Ga2 structure, computed with PBE.

Cell: 4.4292 4.4292 7.8828 Å, 73.68 73.68 60.00°
Positions (direct):
Ga (0.7405, 0.7405, 0.7784)
Zn (0.3882, 0.3882, 0.8353)
Mg (0.1284, 0.1284, 0.6149)
Ga (0.2595, 0.2595, 0.2216)
Li (0.0000, 0.0000, 0.0000)
Mg (0.8716, 0.8716, 0.3851)
Zn (0.6118, 0.6118, 0.1647)

The magnetic moment comes out at 0.00 μB/f.u. The total energy is -0.0775 Ha/atom. Its symmetry is R-3m, No. 166.

***

# 4
A geometry-optimized LaDy4 structure, computed with PBE.

Cell: 5.6292 5.6292 5.6292 Å, 90.00 90.00 90.00°
Positions (direct):
Dy (0.0000, 0.5000, 0.5000)
Dy (0.5000, 0.0000, 0.5000)
Dy (0.5000, 0.5000, 0.0000)
La (0.5000, 0.5000, 0.5000)
Dy (0.0000, 0.0000, 0.0000)

The magnetic moment comes out at 0.00 μB/f.u. The value obtained for the energy above the lowest structure with this stoichiometry is 665 meV/atom. Its symmetry is Pm-3m, No. 221.

***

# 5
A geometry-optimized Ga2ICl structure, computed with PBE.

Cell: 4.3867 4.3867 8.1727 Å, 74.43 74.43 60.00°
Positions (direct):
Ga (0.0738, 0.0738, 0.7786)
Ga (0.2571, 0.2571, 0.2288)
Cl (0.6696, 0.6696, 0.9913)
I (0.4996, 0.4996, 0.5013)

The magnetic moment comes out at 0.00 μB/f.u. The value obtained for the energy above the lowest structure with this stoichiometry is 45 meV/atom. Its symmetry is R3m, No. 160.

***

# 6
A geometry-optimized CePm4Se5 structure, computed with PBE.

Cell: 4.1929 4.1929 17.3423 Å, 83.06 83.06 60.00°
Each line ends with the local moment (μB).
Positions (direct):
Se (0.0000, 0.0000, 0.0000)  0.00
Se (0.2002, 0.2002, 0.3993)  -0.01
Pm (0.8997, 0.8997, 0.3009)  0.01
Pm (0.3004, 0.3004, 0.0989)  0.00
Ce (0.5000, 0.5000, 0.5000)  0.78
Pm (0.1003, 0.1003, 0.6991)  0.01
Se (0.3998, 0.3998, 0.8006)  0.00
Se (0.7998, 0.7998, 0.6007)  -0.01
Pm (0.6996, 0.6996, 0.9011)  0.00
Se (0.6002, 0.6002, 0.1994)  0.00

The magnetic moment comes out at 0.92 μB/f.u. The total energy is -0.2231 Ha/atom. Its symmetry is R-3m, No. 166.

***

# 7
A geometry-optimized BaTlCd2Co structure, computed with PBE.

Cell: 5.1644 5.1644 5.0850 Å, 90.00 90.00 90.00°
Positions (direct):
Cd (0.0000, 0.5000, 0.0000)
Tl (0.0000, 0.0000, 0.5000)
Cd (0.5000, 0.0000, 0.0000)
Co (0.0000, 0.0000, 0.0000)
Ba (0.5000, 0.5000, 0.5000)

The magnetic moment comes out at 0.00 μB/f.u. The total energy is -0.1000 Ha/atom. Its symmetry is P4/mmm, No. 123.

***

# 8
A geometry-optimized Co4SiAs structure, computed with PBE.

Cell: 4.6971 4.6971 4.6971 Å, 60.00 60.00 60.00°
Each line ends with the local moment (μB).
Positions (direct):
Si (0.2500, 0.2500, 0.2500)  -0.01
Co (0.1255, 0.6248, 0.6248)  0.81
Co (0.6248, 0.1255, 0.6248)  0.81
Co (0.6248, 0.6248, 0.1255)  0.81
As (0.0000, 0.0000, 0.0000)  -0.03
Co (0.6248, 0.6248, 0.6248)  0.81

The magnetic moment comes out at 3.15 μB/f.u. The total energy is -0.2257 Ha/atom. Its symmetry is F-43m, No. 216.

***

# 9
A geometry-optimized CsHg3Au2 structure, computed with PBE.

Cell: 5.6287 7.9519 7.9519 Å, 101.80 90.00 90.00°
Positions (direct):
Au (0.0000, 0.2223, 0.7777)
Hg (0.7500, 0.4564, 0.0787)
Au (0.5000, 0.7777, 0.2223)
Hg (0.2500, 0.5436, 0.9213)
Au (0.0000, 0.7777, 0.2223)
Au (0.5000, 0.2223, 0.7777)
Hg (0.7500, 0.0690, 0.0690)
Cs (0.7500, 0.6558, 0.6558)
Cs (0.2500, 0.3442, 0.3442)
Hg (0.2500, 0.9310, 0.9310)
Hg (0.2500, 0.9213, 0.5436)
Hg (0.7500, 0.0787, 0.4564)

The magnetic moment comes out at 0.00 μB/f.u. The value obtained for the energy above the lowest structure with this stoichiometry is 9 meV/atom. Its symmetry is Cmcm, No. 63.

***

# 10
A geometry-optimized Ru2Se structure, computed with PBE.

Cell: 4.1356 5.4074 7.8363 Å, 90.00 90.00 90.00°
Positions (direct):
Ru (0.7500, 0.9738, 0.1999)
Ru (0.7500, 0.3534, 0.9190)
Se (0.2500, 0.2050, 0.1011)
Se (0.7500, 0.2950, 0.6011)
Ru (0.2500, 0.1466, 0.4190)
Se (0.7500, 0.7950, 0.8989)
Ru (0.2500, 0.0262, 0.8001)
Se (0.2500, 0.7050, 0.3989)
Ru (0.7500, 0.4738, 0.3001)
Ru (0.7500, 0.8534, 0.5810)
Ru (0.2500, 0.6466, 0.0810)
Ru (0.2500, 0.5262, 0.6999)

The magnetic moment comes out at 0.00 μB/f.u. The value obtained for the energy above the lowest structure with this stoichiometry is 172 meV/atom. Its symmetry is Pnma, No. 62.

***

# 11
A geometry-optimized KRb2BCl6 structure, computed with PBE.

Cell: 7.1572 7.1572 7.4557 Å, 61.32 61.32 90.00°
Positions (direct):
Cl (0.2970, 0.2970, 0.0000)
Rb (0.7500, 0.2500, 0.5000)
Cl (0.7030, 0.7030, 0.0000)
K (0.0000, 0.0000, 0.0000)
Cl (0.7030, 0.2970, 0.0000)
B (0.5000, 0.5000, 0.0000)
Cl (0.7264, 0.7264, 0.5473)
Cl (0.2970, 0.7030, 0.0000)
Cl (0.2736, 0.2736, 0.4527)
Rb (0.2500, 0.7500, 0.5000)

The magnetic moment comes out at 0.00 μB/f.u. The total energy is -0.1210 Ha/atom. Its symmetry is I4/mmm, No. 139.

***

# 12
A geometry-optimized Pr6DyHo2Th structure, computed with PBE.

Cell: 9.8223 8.9150 8.9150 Å, 116.19 94.37 94.37°
Positions (direct):
Pr (0.4426, 0.2406, 0.8919)
Pr (0.0574, 0.1081, 0.7594)
Pr (0.5574, 0.7594, 0.1081)
Th (0.7500, 0.0290, 0.9710)
Pr (0.3812, 0.5116, 0.2994)
Dy (0.7500, 0.5919, 0.4081)
Pr (0.1882, 0.5745, 0.0081)
Pr (0.8812, 0.2994, 0.5116)
Ho (0.4491, 0.8011, 0.7119)
Pr (0.8118, 0.4255, 0.9919)
Ho (0.5509, 0.1989, 0.2881)
Pr (0.6882, 0.0081, 0.5745)
Pr (0.9426, 0.8919, 0.2406)
Ho (0.0509, 0.2881, 0.1989)
Th (0.2500, 0.9710, 0.0290)
Pr (0.6188, 0.4884, 0.7006)
Dy (0.2500, 0.4081, 0.5919)
Pr (0.3118, 0.9919, 0.4255)
Pr (0.1188, 0.7006, 0.4884)
Ho (0.9491, 0.7119, 0.8011)

The magnetic moment comes out at 0.00 μB/f.u. The total energy is -0.1780 Ha/atom. Its symmetry is C2/c, No. 15.

***

# 13
A geometry-optimized NaGaGe3 structure, computed with PBE.

Cell: 5.0572 5.0572 5.0572 Å, 90.00 90.00 90.00°
Positions (direct):
Ge (0.0000, 0.5000, 0.0000)
Ge (0.5000, 0.0000, 0.0000)
Na (0.5000, 0.5000, 0.5000)
Ga (0.0000, 0.0000, 0.0000)
Ge (0.0000, 0.0000, 0.5000)

The magnetic moment comes out at 0.00 μB/f.u. The value obtained for the energy above the lowest structure with this stoichiometry is 0 meV/atom. Its symmetry is Pm-3m, No. 221.

***

# 14
A geometry-optimized TbPrAg structure, computed with PBE.

Cell: 3.7807 5.1159 5.1159 Å, 120.00 90.00 90.00°
Positions (direct):
Pr (0.6322, 0.6667, 0.3333)
Tb (0.0791, 0.0000, 0.0000)
Ag (0.2887, 0.3333, 0.6667)

The magnetic moment comes out at 0.00 μB/f.u. The value obtained for the energy above the lowest structure with this stoichiometry is 134 meV/atom. Its symmetry is P3m1, No. 156.

***

# 15
A geometry-optimized Ca4Ac15Ho structure, computed with PBE.

Cell: 5.5643 5.5643 28.0155 Å, 90.00 90.00 90.00°
Positions (direct):
Ac (0.5000, 0.5000, 0.6008)
Ca (0.0000, 0.0000, 0.6008)
Ac (0.0000, 0.5000, 0.5000)
Ac (0.5000, 0.0000, 0.7018)
Ac (0.0000, 0.5000, 0.7018)
Ac (0.5000, 0.0000, 0.9039)
Ac (0.5000, 0.5000, 0.8024)
Ac (0.5000, 0.0000, 0.2982)
Ac (0.5000, 0.0000, 0.5000)
Ca (0.0000, 0.0000, 0.1976)
Ac (0.5000, 0.5000, 0.3992)
Ca (0.0000, 0.0000, 0.8024)
Ac (0.0000, 0.5000, 0.9039)
Ac (0.5000, 0.5000, 0.1976)
Ac (0.5000, 0.0000, 0.0961)
Ac (0.0000, 0.5000, 0.2982)
Ca (0.0000, 0.0000, 0.3992)
Ac (0.0000, 0.5000, 0.0961)
Ho (0.0000, 0.0000, 0.0000)
Ac (0.5000, 0.5000, 0.0000)

The magnetic moment comes out at 0.00 μB/f.u. The total energy is -0.1354 Ha/atom. Its symmetry is P4/mmm, No. 123.

***

# 16
A geometry-optimized Cs2LiAgS structure, computed with PBE.

Cell: 6.9111 6.9111 4.5364 Å, 90.00 90.00 90.00°
Positions (direct):
Ag (0.5000, 0.5000, 0.5000)
Cs (0.5000, 0.0000, 0.0000)
S (0.0000, 0.0000, 0.0000)
Li (0.0000, 0.0000, 0.5000)
Cs (0.0000, 0.5000, 0.0000)

The magnetic moment comes out at 0.00 μB/f.u. The total energy is -0.0995 Ha/atom. Its symmetry is P4/mmm, No. 123.

***

# 17
A geometry-optimized ZrTl2Rh structure, computed with PBE.

Cell: 4.7213 3.2058 5.6645 Å, 81.37 90.00 90.00°
Positions (direct):
Zr (0.5000, 0.2500, 0.2500)
Tl (0.0000, 0.5766, 0.5115)
Tl (0.0000, 0.9234, 0.9885)
Rh (0.5000, 0.7500, 0.7500)

The magnetic moment comes out at 0.00 μB/f.u. The total energy is -0.1876 Ha/atom. Its symmetry is P2/m, No. 10.

***

# 18
A geometry-optimized La3C3Cl2 structure, computed with PBE.

Cell: 13.0480 6.9258 7.8257 Å, 76.41 90.00 90.00°
Positions (direct):
C (0.7045, 0.9785, 0.8847)
La (0.8216, 0.1353, 0.1156)
C (0.9698, 0.9702, 0.9420)
C (0.3675, 0.9714, 0.0072)
Cl (0.5569, 0.7403, 0.4474)
Cl (0.0569, 0.7597, 0.5526)
La (0.9915, 0.6256, 0.1893)
La (0.6784, 0.6353, 0.1156)
Cl (0.4431, 0.2597, 0.5526)
Cl (0.3141, 0.7580, 0.6195)
La (0.8501, 0.8617, 0.7358)
La (0.1499, 0.1383, 0.2642)
C (0.7955, 0.4785, 0.8847)
Cl (0.6859, 0.2420, 0.3805)
La (0.5085, 0.1256, 0.1893)
Cl (0.9431, 0.2403, 0.4474)
La (0.1784, 0.8647, 0.8844)
La (0.0085, 0.3744, 0.8107)
C (0.1325, 0.4714, 0.0072)
C (0.0302, 0.0298, 0.0580)
C (0.4698, 0.5298, 0.0580)
La (0.4915, 0.8744, 0.8107)
La (0.6499, 0.3617, 0.7358)
La (0.3501, 0.6383, 0.2642)
C (0.5302, 0.4702, 0.9420)
C (0.6325, 0.0286, 0.9928)
Cl (0.8141, 0.7420, 0.3805)
C (0.2045, 0.5215, 0.1153)
La (0.3216, 0.3647, 0.8844)
C (0.8675, 0.5286, 0.9928)
Cl (0.1859, 0.2580, 0.6195)
C (0.2955, 0.0215, 0.1153)

The magnetic moment comes out at 0.00 μB/f.u. The total energy is -0.2513 Ha/atom. Its symmetry is P2_1/c, No. 14.

***

# 19
A geometry-optimized Si3TcI structure, computed with PBE.

Cell: 4.7788 4.7788 4.7788 Å, 90.00 90.00 90.00°
Positions (direct):
Si (0.0000, 0.0000, 0.5000)
Si (0.5000, 0.0000, 0.0000)
Si (0.0000, 0.5000, 0.0000)
I (0.5000, 0.5000, 0.5000)
Tc (0.0000, 0.0000, 0.0000)

The magnetic moment comes out at 0.00 μB/f.u. The value obtained for the energy above the lowest structure with this stoichiometry is 0 meV/atom. Its symmetry is Pm-3m, No. 221.